[1]
A relaxed structure of Ho2ThZn3. Source: Alexandria via LeMat-Bulk, functional PBE.

Output
N(E_F)   1.19 states/eV per atom
Energy relative to the lowest polymorph listed for this composition   6 meV per atom

a b c (Å): 5.093 5.093 6.217
angles (deg): 90.00 90.00 120.00
Atoms (fractional coordinates):
Ho 0.667 0.333 0.341
Ho 0.333 0.667 0.659
Th 0.000 0.000 0.000
Zn 0.000 0.000 0.500
Zn 0.667 0.333 0.835
Zn 0.333 0.667 0.165


[2]
A relaxed structure of SrCa2MgPt. Source: Alexandria via LeMat-Bulk, functional PBE.

Output
N(E_F)   0.59 states/eV per atom
Energy relative to the lowest polymorph listed for this composition   20 meV per atom

a b c (Å): 5.587 5.587 5.889
angles (deg): 90.00 90.00 90.00
Atoms (fractional coordinates):
Sr 0.000 0.000 0.500
Ca 0.000 0.500 0.000
Ca 0.500 0.000 0.000
Mg 0.500 0.500 0.500
Pt 0.000 0.000 0.000


[3]
A relaxed structure of NaCuSn3. Source: Alexandria via LeMat-Bulk, functional PBE.

Output
N(E_F)   0.32 states/eV per atom
Energy relative to the lowest polymorph listed for this composition   31 meV per atom

a b c (Å): 4.979 5.097 11.057
angles (deg): 103.33 102.91 90.00
Atoms (fractional coordinates):
Na 0.175 0.425 0.849
Na 0.825 0.575 0.151
Cu 0.412 0.160 0.320
Cu 0.588 0.840 0.680
Sn 0.713 0.963 0.926
Sn 0.287 0.037 0.074
Sn 0.447 0.698 0.397
Sn 0.553 0.302 0.603
Sn 0.046 0.798 0.596
Sn 0.954 0.202 0.404


[4]
A relaxed structure of PuCdF5. Source: Alexandria via LeMat-Bulk, functional PBE.

Output
N(E_F)   1.09 states/eV per atom
Raw formation energy   -286.4 kJ per mole of atoms

a b c (Å): 6.054 6.054 8.122
angles (deg): 70.87 70.87 73.44
Each line ends with the local moment (μB).
Atoms (fractional coordinates):
Pu 0.542 0.458 0.250  4.99
Pu 0.458 0.542 0.750  4.99
Cd 0.000 0.000 0.000  0.00
Cd 0.000 0.000 0.500  0.00
F 0.775 0.726 0.131  -0.01
F 0.312 0.672 0.468  -0.01
F 0.726 0.775 0.631  -0.01
F 0.873 0.127 0.250  -0.01
F 0.328 0.688 0.032  -0.01
F 0.672 0.312 0.968  -0.01
F 0.127 0.873 0.750  -0.01
F 0.274 0.225 0.369  -0.01
F 0.688 0.328 0.532  -0.01
F 0.225 0.274 0.869  -0.01